# 1
The following is a GGA-PBE calculation of a relaxed YRu crystal, from Alexandria.

Cell lengths 5.626, 5.626, 5.627 Å; angles 90.00, 90.00, 90.00 degrees
Space group P4_2/mnm (No. 136)
One atom of each set of equivalent atoms:
Y  0.206  0.206  0.000
Ru  0.175  0.175  0.500

Computed properties:
- Energy of formation from the pure elements: 0.2589 eV/atom
- DFT total energy: -7.611 eV/atom
- N(E_F): 3.31 states/eV/f.u.
- Total moment: 0.1654 μB/atom

***

# 2
The following is a GGA-PBE calculation of a relaxed AcHgSe3 crystal, from Alexandria.

Cell lengths 7.694, 4.943, 8.875 Å; angles 90.00, 111.17, 90.00 degrees
Space group P2_1/m (No. 11)
One atom of each set of equivalent atoms:
Ac  0.117  0.250  0.292
Hg  0.464  0.250  0.812
Se  0.119  0.250  0.660
Se  0.187  0.750  0.074
Se  0.458  0.750  0.530

Computed properties:
- DFT total energy: -4.022 eV/atom
- Formation energy (no corrections): -1049 meV per atom
- N(E_F): 1.08 states/eV/f.u.
- Total moment: 0.0000 μB/atom

***

# 3
The following is a GGA-PBE calculation of a relaxed Hf3PbC crystal, from Alexandria.

Cell lengths 7.393, 3.367, 8.474 Å; angles 90.00, 110.73, 90.00 degrees
Space group P2_1/m (No. 11)
One atom of each set of equivalent atoms:
Hf  0.019  0.250  0.355
Hf  0.316  0.250  0.916
Hf  0.387  0.750  0.619
Pb  0.240  0.750  0.188
C  0.187  0.250  0.633

Computed properties:
- Energy of formation from the pure elements: -0.4031 eV/atom
- DFT total energy: -8.962 eV/atom
- N(E_F): 2.79 states/eV/f.u.
- Total moment: 0.0000 μB/atom

***

# 4
The following is a GGA-PBE calculation of a relaxed Pm2Au13 crystal, from Alexandria.

Cell lengths 7.8864, 7.8864, 20.7155 Å; angles 90.00, 90.00, 120.00 degrees
Space group R-3m (No. 166, hexagonal axes)
One atom of each set of equivalent atoms:
Pm  0.0000  0.0000  0.2367
Au  0.0000  0.0000  0.0000
Au  0.0892  0.5446  0.5585
Au  0.0929  0.5465  0.3063

Computed properties:
- Energy of formation from the pure elements: -0.1853 eV/atom
- DFT total energy: -3.659 eV/atom
- N(E_F): 4.59 states/eV/f.u.
- Total moment: 0.0000 μB/atom